Record 1
This record from the Alexandria database describes a geometry-optimized AlCd structure. The functional is GGA-PBEsol.

The structure in extended XYZ format:
```
4
Lattice="3.0041 0.0000 0.0000 1.5020 2.6016 0.0000 1.5020 0.8672 9.5681" Properties=species:S:1:pos:R:3 pbc="T T T"
Al 1.5020 0.8672 5.8701
Al 4.5061 2.6016 3.6980
Cd 3.0041 1.7344 1.3005
Cd 3.0041 1.7344 8.2676
```

- Energy relative to the elements: 0.0686 eV/atom
- M_tot: 0.00 μB/cell
- Fermi-level density of states: 0.384 states/eV per atom



Record 2
This record from the Alexandria database describes a geometry-optimized Al5Cd structure. The functional is GGA-PBEsol.

The structure in extended XYZ format:
```
6
Lattice="-1.8459 0.6893 2.1233 -0.1907 -2.7938 0.7412 9.4056 1.4061 7.7205" Properties=species:S:1:pos:R:3 pbc="T T T"
Al 7.7070 1.1522 6.3263
Al 1.6986 0.2539 1.3943
Al 5.1728 -0.1267 6.5142
Al 2.1962 -0.5717 4.0708
Al 4.7028 0.7030 3.8603
Cd -1.0183 -1.0523 1.4322
```

- Energy relative to the elements: 0.0532 eV/atom
- M_tot: 0.00 μB/cell
- Fermi-level density of states: 0.346 states/eV per atom



Record 3
This record from the Alexandria database describes a geometry-optimized AlCd structure. The functional is GGA-PBEsol.

The structure in extended XYZ format:
```
4
Lattice="-4.1616 0.8025 -0.5494 1.3361 -4.0074 0.6482 -0.5790 0.6762 5.3739" Properties=species:S:1:pos:R:3 pbc="T T T"
Al -2.7633 -0.2937 3.8802
Al -0.6412 -2.2351 1.5925
Cd 0.0000 0.0000 0.0000
Cd -0.2895 0.3381 2.6869
```

- Energy relative to the elements: 0.2969 eV/atom
- M_tot: 0.00 μB/cell
- Fermi-level density of states: 0.401 states/eV per atom



Record 4
This record from the Alexandria database describes a geometry-optimized Al3Cd structure. The functional is GGA-PBEsol.

The structure in extended XYZ format:
```
4
Lattice="-1.7929 -1.2558 -1.7182 3.8925 -2.4717 -2.2552 -1.5584 -1.9938 5.3368" Properties=species:S:1:pos:R:3 pbc="T T T"
Al -0.2413 -1.8305 1.5898
Al 0.7826 -3.8908 -0.2263
Al -0.8964 -0.6279 -0.8591
Cd 1.9462 -1.2359 -1.1276
```

- Energy relative to the elements: 0.1517 eV/atom
- M_tot: 0.00 μB/cell
- Fermi-level density of states: 0.457 states/eV per atom



Record 5
This record from the Alexandria database describes a geometry-optimized Al3Cd2 structure. The functional is GGA-PBEsol.

The structure in extended XYZ format:
```
10
Lattice="-2.8051 0.4948 0.4886 -2.0341 -5.4631 2.4011 1.0131 3.8429 10.4715" Properties=species:S:1:pos:R:3 pbc="T T T"
Al -1.0834 -0.4802 2.4379
Al -2.6194 -0.6670 10.9019
Al -1.6990 -2.6142 5.3381
Al -0.6013 1.2196 7.7574
Al -2.8014 0.4941 0.4880
Al -2.6106 -0.4397 6.8021
Cd -3.0156 -2.7294 2.9312
Cd -0.9372 1.6264 10.4521
Cd -1.2951 1.0491 4.7087
Cd -1.2551 -2.3995 8.4304
```

- Energy relative to the elements: 0.1819 eV/atom
- M_tot: 0.00 μB/cell
- Fermi-level density of states: 0.357 states/eV per atom



Record 6
This record from the Alexandria database describes a geometry-optimized AlCd structure. The functional is GGA-PBEsol.

The structure in extended XYZ format:
```
4
Lattice="-2.9347 0.0430 -3.2345 4.2603 -0.2814 -0.9203 -0.2978 -5.1686 0.2016" Properties=species:S:1:pos:R:3 pbc="T T T"
Al 0.0000 0.0000 0.0000
Al -0.1489 -2.5843 0.1008
Cd -0.7598 -3.9416 -2.3119
Cd 1.7875 -1.4654 -1.6413
```

- Energy relative to the elements: 0.2178 eV/atom
- M_tot: 0.00 μB/cell
- Fermi-level density of states: 0.299 states/eV per atom



Record 7
This record from the Alexandria database describes a geometry-optimized Al2Cd structure. The functional is GGA-PBEsol.

The structure in extended XYZ format:
```
3
Lattice="4.4065 -0.0354 -0.0523 -2.0524 3.8996 0.0523 -2.0524 -1.3988 3.6404" Properties=species:S:1:pos:R:3 pbc="T T T"
Al 0.1509 2.5573 0.9232
Al 0.1509 -0.0919 2.7172
Cd 0.0000 0.0000 0.0000
```

- Energy relative to the elements: 0.2425 eV/atom
- M_tot: 0.00 μB/cell
- Fermi-level density of states: 0.318 states/eV per atom



Record 8
This record from the Alexandria database describes a geometry-optimized Al5Cd structure. The functional is GGA-PBEsol.

The structure in extended XYZ format:
```
6
Lattice="4.6948 0.0000 0.0000 0.0000 5.0781 0.0000 0.0000 -2.5391 4.3978" Properties=species:S:1:pos:R:3 pbc="T T T"
Al 0.0000 0.8815 1.5268
Al 0.0000 3.3151 0.0000
Al 0.0000 -1.6576 2.8710
Al 2.3474 0.0000 2.9319
Al 2.3474 2.5391 1.4659
Cd 2.3474 0.0000 0.0000
```

- Energy relative to the elements: 0.1212 eV/atom
- M_tot: 0.00 μB/cell
- Fermi-level density of states: 0.410 states/eV per atom



Record 9
This record from the Alexandria database describes a geometry-optimized AlCd structure. The functional is GGA-PBEsol.

The structure in extended XYZ format:
```
2
Lattice="-2.8879 -0.1019 0.6484 -1.7197 -2.0782 -1.2225 -0.5733 -3.7645 3.6186" Properties=species:S:1:pos:R:3 pbc="T T T"
Al 0.0000 0.0000 0.0000
Cd -2.5904 -2.9723 1.5222
```

- Energy relative to the elements: 0.1058 eV/atom
- M_tot: 0.00 μB/cell
- Fermi-level density of states: 0.348 states/eV per atom



Record 10
This record from the Alexandria database describes a geometry-optimized Al2Cd structure. The functional is GGA-PBEsol.

The structure in extended XYZ format:
```
3
Lattice="-0.9738 -2.6788 0.7760 2.0988 -0.1626 2.0725 -4.4323 4.0218 2.6985" Properties=species:S:1:pos:R:3 pbc="T T T"
Al -1.9746 0.2846 4.1272
Al -1.3328 0.8958 1.4199
Cd 0.5625 -1.4207 1.4243
```

- Energy relative to the elements: 0.1029 eV/atom
- M_tot: 0.00 μB/cell
- Fermi-level density of states: 0.421 states/eV per atom



Record 11
This record from the Alexandria database describes a geometry-optimized Al2CdCl8 structure. The functional is GGA-PBEsol.

The structure in extended XYZ format:
```
22
Lattice="-1.1440 -1.3681 6.5519 6.0704 -3.5413 0.3205 5.7151 11.1060 3.3169" Properties=species:S:1:pos:R:3 pbc="T T T"
Cl 4.1806 0.0906 1.1528
Cl 6.0254 4.4325 8.6110
Cl 6.7455 3.3257 4.6119
Cl 3.6347 -2.5301 4.4040
Cl 4.2894 3.7256 2.0667
Cl 6.1785 8.1204 9.2719
Cl 3.7072 5.1662 5.7441
Cl 1.0120 -0.1927 3.1557
Cl 6.3017 0.9487 8.0161
Cl 10.1993 7.7455 3.7178
Cl 0.4316 0.8916 6.2994
Cl 4.1082 7.4241 3.2669
Cl 3.6792 1.4359 4.9323
Cl 6.6900 7.1722 5.7130
Cl 6.9509 -0.2831 4.0511
Cl 9.6061 5.0280 6.8679
Al 6.4152 3.9102 2.5485
Al 1.6293 1.3819 4.5506
Al 4.6360 7.1133 5.3545
Al 2.6126 -2.7729 6.3026
Cd 2.5961 5.2023 3.3942
Cd -0.8024 -0.9977 4.8342
```

- M_tot: 0.00 μB/cell
- Fermi-level density of states: 0.000 states/eV per atom
- Formation energy (no corrections): -132 kJ per mole of atoms



Record 12
This record from the Alexandria database describes a geometry-optimized AlCdCl structure. The functional is GGA-PBEsol.

The structure in extended XYZ format:
```
3
Lattice="3.1057 0.0000 0.0000 -1.5529 2.6897 0.0000 0.0000 0.0000 7.6281" Properties=species:S:1:pos:R:3 pbc="T T T"
Cl 1.5529 0.8966 1.9161
Al 0.0000 0.0000 0.2198
Cd 0.0000 1.7931 5.4923
```

- M_tot: 0.00 μB/cell
- Fermi-level density of states: 0.079 states/eV per atom
- Formation energy (no corrections): -29 kJ per mole of atoms